[1]
DFT (PBE-GGA) results for a relaxed structure of HfTi5Zn4.

The energy relative to the elements is -0.1377 eV per atom.

The space group is P4/mmm (No. 123) and the conventional cell measures 3.121, 3.121 and 16.898 Å, with angles of 90.00, 90.00 and 90.00 degrees. The asymmetric unit holds Hf at (0.000, 0.000, 0.000), Ti at (0.500, 0.500, 0.119), Ti at (0.500, 0.500, 0.311), Ti at (0.500, 0.500, 0.500), Zn at (0.000, 0.000, 0.216) and Zn at (0.000, 0.000, 0.406).

[2]
DFT (PBE-GGA) results for a relaxed structure of Ti3InRh.

The energy relative to the elements is 0.1878 eV per atom.

The space group is Pm-3m (No. 221) and the conventional cell measures 4.730, 4.730 and 4.730 Å, with angles of 90.00, 90.00 and 90.00 degrees. The asymmetric unit holds Ti at (0.000, 0.000, 0.500), In at (0.500, 0.500, 0.500) and Rh at (0.000, 0.000, 0.000).

[3]
DFT (PBE-GGA) results for a relaxed structure of LiAlP2.

The energy relative to the elements is -0.1406 eV per atom.

The space group is P4/mmm (No. 123) and the conventional cell measures 3.455, 3.455 and 5.412 Å, with angles of 90.00, 90.00 and 90.00 degrees. The asymmetric unit holds Li at (0.000, 0.000, 0.000), Al at (0.000, 0.000, 0.500) and P at (0.500, 0.500, 0.294).

[4]
DFT (PBE-GGA) results for a relaxed structure of BeGaCo.

The energy relative to the elements is -0.1972 eV per atom.

The space group is I4mm (No. 107) and the conventional cell measures 2.828, 2.828 and 8.120 Å, with angles of 90.00, 90.00 and 90.00 degrees. The asymmetric unit holds Be at (0.000, 0.000, 0.000), Ga at (0.000, 0.000, 0.690) and Co at (0.000, 0.000, 0.376).

[5]
DFT (PBE-GGA) results for a relaxed structure of Mg3ReP.

The energy relative to the elements is 0.8141 eV per atom.

The space group is Pm-3m (No. 221) and the conventional cell measures 4.775, 4.775 and 4.775 Å, with angles of 90.00, 90.00 and 90.00 degrees. The asymmetric unit holds Mg at (0.000, 0.000, 0.500), Re at (0.500, 0.500, 0.500) and P at (0.000, 0.000, 0.000).

[6]
DFT (PBE-GGA) results for a relaxed structure of CaBeCl2.

The uncorrected formation energy is -850 meV/atom.

The space group is P4mm (No. 99) and the conventional cell measures 3.338, 3.338 and 8.368 Å, with angles of 90.00, 90.00 and 90.00 degrees. The asymmetric unit holds Ca at (0.000, 0.000, 0.000), Be at (0.500, 0.500, 0.736), Cl at (0.000, 0.000, 0.620) and Cl at (0.500, 0.500, 0.185).

[7]
DFT (PBE-GGA) results for a relaxed structure of PrTiZnPt2.

The energy relative to the elements is -0.8414 eV per atom.

The space group is I-4m2 (No. 119) and the conventional cell measures 4.058, 4.058 and 12.064 Å, with angles of 90.00, 90.00 and 90.00 degrees. The asymmetric unit holds Pr at (0.000, 0.000, 0.000), Ti at (0.000, 0.500, 0.750), Zn at (0.000, 0.500, 0.250) and Pt at (0.000, 0.000, 0.387).

[8]
DFT (PBE-GGA) results for a relaxed structure of LiNiAs2.

The energy relative to the elements is 0.0740 eV per atom.

The space group is F-43m (No. 216) and the conventional cell measures 6.275, 6.275 and 6.275 Å, with angles of 90.00, 90.00 and 90.00 degrees. The asymmetric unit holds Li at (0.000, 0.000, 0.000), Ni at (0.250, 0.250, 0.250), As at (0.000, 0.000, 0.500) and As at (0.250, 0.250, 0.750).

Summary of E in eV per atom
-5.5901, -6.5671, -4.2596, -4.8168, -3.7143, -3.2052, -6.0474, -4.1745
(order as listed above)
Summary of size of the total moment in Bohr magnetons per cell
0.0, 0.0, 0.0, 0.8, 2.6, 0.0, 0.0, 0.0
(order as listed above)